Mg3Pa3CrN8, optimized geometry, DFT GGA-PBE; energy relative to the elements, uncorrected = -1061 meV/atom; calculated density = 7.63 Mg/m³; space-group type = R-3m, No. 166
1.0
-1.526 -2.536 6.059
4.011 -3.447 -4.186
1.942 5.479 2.784
N Mg Cr Pa
8 3 1 3
Direct
0.769 0.539 0.282
0.769 0.013 0.282
0.231 0.461 0.718
0.243 0.013 0.282
0.757 0.987 0.718
0.249 0.498 0.246
0.751 0.502 0.754
0.231 0.987 0.718
0.000 0.000 0.000
0.500 0.500 0.000
0.000 0.500 0.000
0.000 0.000 0.500
0.500 0.000 0.500
0.500 0.500 0.500
0.000 0.500 0.500

---

Mg2PaCrN4, optimized geometry, DFT GGA-PBE; energy relative to the elements, uncorrected = -811 meV/atom; D(E_F) = 3.7 states/eV/f.u.; calculated density = 6.78 Mg/m³; space-group type = Cmcm, No. 63
1.0
-2.194 2.400 -0.131
-0.820 -3.215 -4.738
-6.862 -5.988 5.250
Pa N Mg Cr
2 8 4 2
Direct
0.089 0.178 0.750
0.911 0.822 0.250
0.429 0.857 0.750
0.716 0.432 0.871
0.571 0.143 0.250
0.284 0.568 0.371
0.000 0.000 0.000
0.284 0.568 0.129
0.716 0.432 0.629
0.000 0.000 0.500
0.619 0.239 0.038
0.619 0.239 0.462
0.381 0.761 0.962
0.381 0.761 0.538
0.828 0.656 0.750
0.172 0.344 0.250

---

MgPa2CrN6, optimized geometry, DFT GGA-PBE; energy relative to the elements, uncorrected = -849 meV/atom; D(E_F) = 0.1 states/eV/f.u.; calculated density = 7.86 Mg/m³; space-group type = P4mm, No. 99
1.0
-3.395 -3.381 0.356
2.868 -2.501 3.590
-2.342 2.749 3.786
N Mg Pa Cr
6 1 2 1
Direct
0.237 0.000 0.000
0.732 0.764 0.764
0.732 0.236 0.236
0.145 0.500 0.500
0.732 0.764 0.236
0.732 0.236 0.764
0.567 0.500 0.500
0.989 0.000 0.500
0.989 0.500 0.000
0.591 0.000 0.000

---

MgCr2PdN, optimized geometry, DFT GGA-PBE; energy relative to the elements, uncorrected = 1666 meV/atom; D(E_F) = 3.9 states/eV/f.u.; excess energy over the best structure of this formula in the dataset = 0.000 eV/atom; calculated density = 3.56 Mg/m³; space-group type = P4/mmm, No. 123
1.0
4.901 0.000 0.000
0.000 4.825 0.000
0.000 0.000 4.901
Mg Pd N Cr
1 1 1 2
Direct
0.000 0.500 0.000
0.000 0.000 0.000
0.500 0.500 0.500
0.500 0.000 0.000
0.000 0.000 0.500

---

MgCr2PdN, optimized geometry, DFT GGA-PBE; energy relative to the elements, uncorrected = 2150 meV/atom; D(E_F) = 2.5 states/eV/f.u.; excess energy over the best structure of this formula in the dataset = 0.484 eV/atom; calculated density = 3.55 Mg/m³; space-group type = P4/mmm, No. 123
1.0
-1.532 1.709 4.526
-0.649 -4.249 1.385
4.782 -0.180 1.687
Pd Cr Mg N
1 2 1 1
Direct
0.000 0.500 0.000
0.000 0.000 0.500
0.500 0.000 0.000
0.000 0.000 0.000
0.500 0.500 0.500

---

PmMg2CrN4, optimized geometry, DFT GGA-PBE; energy relative to the elements, uncorrected = -851 meV/atom; D(E_F) = 3.2 states/eV/f.u.; calculated density = 4.53 Mg/m³; space-group type = Pmn2_1, No. 31
1.0
5.365 0.000 0.000
0.000 5.901 0.000
0.000 0.000 6.987
Pm Mg N Cr
2 4 8 2
Direct
0.981 0.144 0.500
0.481 0.856 0.000
0.992 0.660 0.245
0.492 0.340 0.745
0.992 0.660 0.755
0.492 0.340 0.255
0.943 0.880 0.000
0.332 0.223 0.000
0.379 0.677 0.711
0.832 0.777 0.500
0.379 0.677 0.289
0.443 0.120 0.500
0.879 0.323 0.789
0.879 0.323 0.211
0.001 0.188 0.000
0.501 0.812 0.500

---

PrMg2CrN4, optimized geometry, DFT GGA-PBE; energy relative to the elements, uncorrected = -767 meV/atom; D(E_F) = 1.5 states/eV/f.u.; calculated density = 4.94 Mg/m³; space-group type = Cmcm, No. 63
1.0
3.280 0.000 0.000
-1.640 5.759 0.000
0.000 0.000 10.585
Mg N Pr Cr
4 8 2 2
Direct
0.384 0.769 0.963
0.616 0.231 0.037
0.384 0.769 0.537
0.616 0.231 0.463
0.000 0.000 0.500
0.276 0.553 0.377
0.000 0.000 0.000
0.276 0.553 0.123
0.724 0.447 0.877
0.724 0.447 0.623
0.400 0.801 0.750
0.600 0.199 0.250
0.923 0.846 0.250
0.077 0.154 0.750
0.187 0.375 0.250
0.813 0.625 0.750

---

Pu2MgCrN5, optimized geometry, DFT GGA-PBE; energy relative to the elements, uncorrected = -745 meV/atom; D(E_F) = 10.8 states/eV/f.u.; calculated density = 9.68 Mg/m³; space-group type = Cmc2_1, No. 36
1.0
-1.823 -0.259 2.719
-2.593 -4.291 -4.130
6.511 -7.451 3.655
Mg Cr N Pu
2 2 10 4
Direct
0.548 0.097 0.947
0.452 0.903 0.447
0.776 0.551 0.518
0.224 0.449 0.018
0.259 0.518 0.674
0.379 0.758 0.999
0.621 0.242 0.499
0.076 0.152 0.066
0.924 0.848 0.566
0.499 0.999 0.761
0.741 0.482 0.174
0.501 0.001 0.261
0.713 0.426 0.920
0.287 0.574 0.420
0.083 0.165 0.647
0.150 0.300 0.292
0.917 0.835 0.147
0.850 0.700 0.792

---

Mg2CrReN4, optimized geometry, DFT GGA-PBE; energy relative to the elements, uncorrected = -402 meV/atom; D(E_F) = 4.2 states/eV/f.u.; calculated density = 5.72 Mg/m³; space-group type = Pmn2_1, No. 31
1.0
5.315 0.000 0.000
0.000 5.603 0.000
0.000 0.000 6.690
Mg N Re Cr
4 8 2 2
Direct
0.000 0.664 0.242
0.500 0.336 0.742
0.500 0.336 0.258
0.000 0.664 0.758
0.341 0.149 0.500
0.400 0.702 0.746
0.900 0.298 0.754
0.867 0.823 0.500
0.841 0.851 0.000
0.367 0.177 0.000
0.400 0.702 0.254
0.900 0.298 0.246
0.010 0.155 0.000
0.510 0.845 0.500
0.482 0.854 0.000
0.982 0.146 0.500

---

MgCrRuN2, optimized geometry, DFT GGA-PBE; energy relative to the elements, uncorrected = 1139 meV/atom; D(E_F) = 2.8 states/eV/f.u.; calculated density = 4.45 Mg/m³; space-group type = P4/mmm, No. 123
1.0
3.868 0.000 0.000
0.000 5.126 0.000
0.000 0.000 3.868
Ru Mg N Cr
1 1 2 1
Direct
0.000 0.000 0.000
0.000 0.500 0.000
0.500 0.000 0.000
0.000 0.000 0.500
0.500 0.500 0.500

---

MgCrS2N, optimized geometry, DFT GGA-PBE; energy relative to the elements, uncorrected = 1185 meV/atom; D(E_F) = 8.2 states/eV/f.u.; excess energy over the best structure of this formula in the dataset = 1.444 eV/atom; calculated density = 3.15 Mg/m³; space-group type = P4/mmm, No. 123
1.0
4.660 0.000 0.000
0.000 4.660 0.000
0.000 0.000 3.749
S Cr N Mg
2 1 1 1
Direct
0.000 0.500 0.000
0.500 0.000 0.000
0.500 0.500 0.500
0.000 0.000 0.500
0.000 0.000 0.000

---

MgCrS2N, optimized geometry, DFT GGA-PBE; energy relative to the elements, uncorrected = -259 meV/atom; D(E_F) = 0.8 states/eV/f.u.; excess energy over the best structure of this formula in the dataset = 0.000 eV/atom; calculated density = 3.23 Mg/m³; space-group type = P4/mmm, No. 123
1.0
-4.685 0.623 -0.479
-0.474 -4.549 -1.284
-0.465 -0.904 3.373
Cr Mg S N
1 1 2 1
Direct
0.000 0.000 0.000
0.500 0.500 0.500
0.500 0.000 0.000
0.000 0.500 0.000
0.000 0.000 0.500